Density functional theory data (GGA-PBE) for an optimized crystal structure of TcHOsPd2.

Properties
The value obtained for the total moment is 1.82 μB per cell. The space group is P4/mmm, No. 123. Its total DFT energy (no corrections) is -29.391 eV per cell.

a b c (Å): 4.951 3.076 4.951
angles (deg): 90.00 90.00 90.00
Last column: magnetic moment on the atom in μB.
Positions (direct):
Os 0.000 0.000 0.000  -0.18
Pd 0.000 0.000 0.500  -0.06
Tc 0.500 0.500 0.500  1.84
H 0.000 0.500 0.000  0.01
Pd 0.500 0.000 0.000  0.03

---

Density functional theory data (GGA-PBE) for an optimized crystal structure of TcHOsPd2.

Properties
The value obtained for the total moment is 2.07 μB per cell. The space group is P4/mmm, No. 123. Its total DFT energy (no corrections) is -25.974 eV per cell.

a b c (Å): 4.909 4.629 4.909
angles (deg): 90.00 90.00 90.00
Last column: magnetic moment on the atom in μB.
Positions (direct):
Pd 0.000 0.000 0.500  -0.08
Pd 0.500 0.000 0.000  0.00
Os 0.000 0.000 0.000  -0.07
Tc 0.000 0.500 0.000  1.51
H 0.500 0.500 0.500  0.26

---

Density functional theory data (GGA-PBE) for an optimized crystal structure of V2HOsPd.

Properties
The value obtained for the total moment is 0.00 μB per cell. The space group is P4/mmm, No. 123. Its total DFT energy (no corrections) is -38.561 eV per cell.

a b c (Å): 3.919 3.919 3.763
angles (deg): 90.00 90.00 90.00
Positions (direct):
Os 0.500 0.500 0.500
Pd 0.000 0.000 0.500
V 0.500 0.000 0.000
V 0.000 0.500 0.000
H 0.000 0.000 0.000